1.
## NdP3Pd3 (PBE)

Data for a relaxed structure of NdP3Pd3.

The structure belongs to space group Pm-3n (No. 223); the cell edges are 6.550, 6.550 and 6.550 Å and the angles 90.00°, 90.00° and 90.00°. The distinct sites, in fractional coordinates, are Nd at (0.000, 0.000, 0.000), P at (0.000, 0.250, 0.500) and Pd at (0.000, 0.500, 0.250).

As for the magnetization: 0.0 μB per formula unit. The value obtained for the energy of formation from the pure elements is -3.42 eV/f.u. The calculation puts the polymorph energy (0 for the lowest one) at 5.5 kJ/mol of atoms. As for the crystal system: cubic.


2.
## Dy4HoTm2 (PBE)

Data for a relaxed structure of Dy4HoTm2.

The structure belongs to space group P2_1/m (No. 11); the cell edges are 6.115, 6.456 and 11.399 Å and the angles 90.00°, 105.51° and 90.00°. The distinct sites, in fractional coordinates, are Dy at (0.027, 0.250, 0.359), Dy at (0.144, 0.250, 0.944), Dy at (0.349, 0.503, 0.213), Ho at (0.161, 0.250, 0.660), Tm at (0.292, 0.750, 0.928) and Tm at (0.392, 0.750, 0.502).

As for the magnetization: 0.0 μB per formula unit. The value obtained for the energy of formation from the pure elements is 0.99 eV/f.u. The calculation puts the polymorph energy (0 for the lowest one) at 13.0 kJ/mol of atoms. As for the crystal system: monoclinic.


3.
## MnSb2Pb (PBE)

Data for a relaxed structure of MnSb2Pb.

The structure belongs to space group Pmm2 (No. 25); the cell edges are 3.556, 3.851 and 7.884 Å and the angles 90.00°, 90.00° and 90.00°. The distinct sites, in fractional coordinates, are Mn at (0.000, 0.000, 0.000), Sb at (0.500, 0.000, 0.262), Sb at (0.500, 0.500, 0.877) and Pb at (0.000, 0.500, 0.519).

As for the magnetization: 3.3 μB per formula unit. The value obtained for the total energy is -20.432 eV per cell. As for the crystal system: orthorhombic.